{
  "formula": "AcNdSm6Ho2",
  "functional": "PBE-GGA",
  "state": "relaxed",
  "lattice": [[4.677, -7.708, 0.000], [4.677, 7.708, 0.000], [-0.996, 0.000, 9.700]],
  "species": ["Ac", "Ac", "Nd", "Nd", "Sm", "Sm", "Sm", "Sm", "Sm", "Sm", "Sm", "Sm", "Sm", "Sm", "Sm", "Sm", "Ho", "Ho", "Ho", "Ho"],
  "frac_coords": [[0.031, 0.969, 0.750], [0.969, 0.031, 0.250], [0.410, 0.590, 0.250], [0.590, 0.410, 0.750], [0.016, 0.555, 0.679], [0.119, 0.750, 0.055], [0.250, 0.881, 0.445], [0.292, 0.511, 0.881], [0.445, 0.984, 0.821], [0.489, 0.708, 0.619], [0.511, 0.292, 0.381], [0.555, 0.016, 0.179], [0.708, 0.489, 0.119], [0.750, 0.119, 0.555], [0.881, 0.250, 0.945], [0.984, 0.445, 0.321], [0.200, 0.310, 0.548], [0.310, 0.200, 0.048], [0.690, 0.800, 0.952], [0.800, 0.690, 0.452]],
  "crystal_system": "monoclinic",
  "formation_enthalpy_0k_mev_per_atom": 124
}

{
  "formula": "Sm6Si2RuBr3",
  "functional": "PBE-GGA",
  "state": "relaxed",
  "lattice": [[9.493, -2.072, 0.000], [9.493, 2.072, 0.000], [-2.559, 0.000, 8.583]],
  "species": ["Sm", "Sm", "Sm", "Sm", "Sm", "Sm", "Si", "Si", "Ru", "Br", "Br", "Br"],
  "frac_coords": [[0.007, 0.007, 0.218], [0.324, 0.324, 0.436], [0.352, 0.352, 0.894], [0.648, 0.648, 0.106], [0.676, 0.676, 0.564], [0.993, 0.993, 0.782], [0.165, 0.165, 0.338], [0.835, 0.835, 0.662], [0.500, 0.500, 0.000], [0.173, 0.173, 0.834], [0.500, 0.500, 0.500], [0.827, 0.827, 0.166]],
  "raw_formation_energy_ev_per_fu": -11.439,
  "crystal_system": "monoclinic"
}

{
  "formula": "LaReAu2",
  "functional": "PBE-GGA",
  "state": "relaxed",
  "lattice": [[2.952, 0.000, 0.000], [0.000, 4.180, 0.000], [0.000, 0.000, 6.732]],
  "species": ["La", "Re", "Au", "Au"],
  "frac_coords": [[0.000, 0.000, 0.000], [0.500, 0.500, 0.294], [0.000, 0.000, 0.466], [0.500, 0.500, 0.709]],
  "crystal_system": "orthorhombic",
  "de_polymorph_ev_per_atom": 0.098,
  "formation_enthalpy_0k_mev_per_atom": 259
}

Final energy (computed, eV/cell): -90.2, -64.9, -22.9
Total moment (computed, μB/cell): 0.000, 0.000, 0.001